[1]
MnBeGeRh (PBE, relaxed); space-group type = F-43m, No. 216; raw total energy = -0.237 hartree per atom; formation enthalpy at 0 K = -0.24 eV/atom
1.0
0.0000 2.8819 2.8819
2.8819 0.0000 2.8819
2.8819 2.8819 0.0000
Mn Be Ge Rh
1 1 1 1
Direct
0.0000 0.0000 0.0000 Mn
0.7500 0.7500 0.7500 Be
0.2500 0.2500 0.2500 Ge
0.5000 0.5000 0.5000 Rh

---

[2]
Sc2MnBeGe (PBE, relaxed); space-group type = P4/mmm, No. 123; raw total energy = -0.212 hartree per atom; formation enthalpy at 0 K = 0.27 eV/atom
1.0
4.8137 0.0000 0.0000
0.0000 4.8137 0.0000
0.0000 0.0000 4.0536
Sc Mn Be Ge
2 1 1 1
Direct
0.0000 0.5000 0.0000 Sc
0.5000 0.0000 0.0000 Sc
0.0000 0.0000 0.5000 Mn
0.5000 0.5000 0.0000 Be
0.5000 0.5000 0.5000 Ge

---

[3]
Mn5Be2Tc2Ge (PBE, relaxed); space-group type = P4/mbm, No. 127; raw total energy = -0.288 hartree per atom; formation enthalpy at 0 K = 0.03 eV/atom
1.0
8.7417 0.0000 0.0000
0.0000 8.7417 0.0000
0.0000 0.0000 2.9632
Mn Be Tc Ge
10 4 4 2
Direct
0.0000 0.5000 0.0000 Mn
0.0648 0.2077 0.0000 Mn
0.2077 0.9352 0.0000 Mn
0.2923 0.4352 0.0000 Mn
0.4352 0.7077 0.0000 Mn
0.5000 0.0000 0.0000 Mn
0.5648 0.2923 0.0000 Mn
0.7077 0.5648 0.0000 Mn
0.7923 0.0648 0.0000 Mn
0.9352 0.7923 0.0000 Mn
0.1254 0.3746 0.5000 Be
0.3746 0.8746 0.5000 Be
0.6254 0.1254 0.5000 Be
0.8746 0.6254 0.5000 Be
0.1733 0.6733 0.5000 Tc
0.3267 0.1733 0.5000 Tc
0.6733 0.8267 0.5000 Tc
0.8267 0.3267 0.5000 Tc
0.0000 0.0000 0.5000 Ge
0.5000 0.5000 0.5000 Ge

---

[4]
ThMnBeGe2 (PBE, relaxed); space-group type = I-4m2, No. 119; raw total energy = -0.231 hartree per atom; formation enthalpy at 0 K = -0.38 eV/atom
1.0
-2.0116 2.0116 5.3711
2.0116 -2.0116 5.3711
2.0116 2.0116 -5.3711
Th Mn Be Ge
1 1 1 2
Direct
0.0000 0.0000 0.0000 Th
0.7500 0.2500 0.5000 Mn
0.2500 0.7500 0.5000 Be
0.3755 0.3755 0.0000 Ge
0.6245 0.6245 0.0000 Ge

---

[5]
BeGeMo (PBE, relaxed); space-group type = P-6m2, No. 187; raw total energy = -0.230 hartree per atom; formation enthalpy at 0 K = 0.12 eV/atom
1.0
4.0635 0.0000 0.0000
-2.0318 3.5191 0.0000
0.0000 0.0000 2.7403
Be Ge Mo
1 1 1
Direct
0.0000 0.0000 0.0000 Be
0.6667 0.3333 0.0000 Ge
0.3333 0.6667 0.5000 Mo

---

[6]
Be3GeMo (PBE, relaxed); space-group type = Pm-3m, No. 221; raw total energy = -0.151 hartree per atom; formation enthalpy at 0 K = 1.21 eV/atom
1.0
4.0791 0.0000 0.0000
0.0000 4.0791 0.0000
0.0000 0.0000 4.0791
Be Ge Mo
3 1 1
Direct
0.0000 0.0000 0.5000 Be
0.0000 0.5000 0.0000 Be
0.5000 0.0000 0.0000 Be
0.0000 0.0000 0.0000 Ge
0.5000 0.5000 0.5000 Mo